# VBPO2 (PBE with a Hubbard U, relaxed)
data_VBPO2
_symmetry_space_group_name_H-M 'P 1'
_symmetry_Int_Tables_number 1
_symmetry_space_group_name_Hall 'P 1'
_cell_length_a 3.449
_cell_length_b 3.449
_cell_length_c 4.269
_cell_angle_alpha 90.00
_cell_angle_beta 90.00
_cell_angle_gamma 90.00
loop_
_atom_site_label
_atom_site_fract_x
_atom_site_fract_y
_atom_site_fract_z
V1 0.000 0.000 0.000
B1 0.500 0.500 0.500
P1 0.500 0.500 0.000
O1 0.000 0.500 0.500
O2 0.500 0.000 0.500
# N(E_F), states/eV/f.u.: 0.56
# VASP energy, eV per formula unit: -29.00
# Distance to the lowest polymorph of the same formula, eV per formula unit: 0.930